# 1
Below is a relaxed structure of Zn7Pd2Au, with properties calculated at the PBE-GGA level.

POSCAR file:
```
Zn7Pd2Au
1.0
4.278 0.000 0.000
-2.139 3.705 0.000
0.000 0.000 10.663
Zn Pd Au
7 2 1
Cartesian
0.000 0.000 0.000
0.000 0.000 2.667
0.000 0.000 5.604
0.000 2.470 1.632
0.000 2.470 7.286
2.139 1.235 3.718
2.139 1.235 9.081
0.000 0.000 8.141
2.139 1.235 1.067
0.000 2.470 4.584
```

Properties
ΔE_f   -20.5 kJ/mol of atoms

=====

# 2
Below is a relaxed structure of Zn6PdAu, with properties calculated at the PBE-GGA level.

POSCAR file:
```
Zn6PdAu
1.0
3.880 0.000 0.000
0.000 3.880 0.000
0.000 0.000 7.963
Zn Pd Au
6 1 1
Cartesian
0.000 0.000 0.000
0.000 0.000 3.981
0.000 1.940 1.938
0.000 1.940 6.025
1.940 0.000 1.938
1.940 0.000 6.025
1.940 1.940 0.000
1.940 1.940 3.981
```

Properties
ΔE_f   -22.0 kJ/mol of atoms
Offset from the most stable computed form   0 meV per atom

=====

# 3
Below is a relaxed structure of Zn8Pd2Au3, with properties calculated at the PBE-GGA level.

POSCAR file:
```
Zn8Pd2Au3
1.0
2.515 1.452 9.603
-2.515 1.452 9.603
0.000 -2.905 9.603
Zn Pd Au
8 2 3
Cartesian
0.000 0.000 6.380
0.000 -1.444 11.415
-1.251 0.722 11.415
-1.251 -0.722 17.393
1.251 0.722 11.415
1.251 -0.722 17.393
0.000 1.444 17.393
0.000 0.000 22.429
0.000 0.000 3.937
0.000 0.000 24.871
0.000 0.000 9.071
0.000 0.000 14.404
0.000 0.000 19.737
```

Properties
ΔE_f   -13.7 kJ/mol of atoms

=====

# 4
Below is a relaxed structure of Zn12PdAu6, with properties calculated at the PBE-GGA level.

POSCAR file:
```
Zn12PdAu6
1.0
5.099 2.944 3.543
-5.099 2.944 3.543
0.000 -5.888 3.543
Zn Pd Au
12 1 6
Cartesian
0.000 -1.744 1.173
-1.511 0.872 1.173
-1.423 -0.822 3.320
1.511 0.872 1.173
1.423 -0.822 3.320
0.000 1.643 3.320
0.000 -1.643 7.308
-1.423 0.822 7.308
-1.511 -0.872 9.455
1.423 0.822 7.308
1.511 -0.872 9.455
0.000 1.744 9.455
0.000 0.000 5.314
-2.429 -1.402 5.973
0.000 -2.804 4.654
-2.429 1.402 4.654
2.429 -1.402 5.973
0.000 2.804 5.973
2.429 1.402 4.654
```

Properties
ΔE_f   -13.4 kJ/mol of atoms

=====

# 5
Below is a relaxed structure of Zn2Pd8Au3, with properties calculated at the PBE-GGA level.

POSCAR file:
```
Zn2Pd8Au3
1.0
2.591 1.496 9.641
-2.591 1.496 9.641
0.000 -2.992 9.641
Zn Pd Au
2 8 3
Cartesian
0.000 0.000 3.978
0.000 0.000 24.943
0.000 0.000 6.395
0.000 -1.490 11.561
-1.291 0.745 11.561
-1.291 -0.745 17.361
1.291 0.745 11.561
1.291 -0.745 17.361
0.000 1.490 17.361
0.000 0.000 22.526
0.000 0.000 9.146
0.000 0.000 14.461
0.000 0.000 19.775
```

Properties
ΔE_f   4.0 kJ/mol of atoms
Offset from the most stable computed form   164 meV per atom

=====

# 6
Below is a relaxed structure of Zn2PdAu, with properties calculated at the PBE-GGA level.

POSCAR file:
```
Zn2PdAu
1.0
3.122 0.000 0.000
-0.001 4.423 0.000
-0.050 -0.022 8.890
Zn Pd Au
4 2 2
Cartesian
-0.004 1.108 1.006
-0.015 3.323 3.302
3.086 1.078 5.589
3.075 3.294 7.884
1.516 1.081 7.777
1.555 3.320 1.113
1.524 3.289 5.643
1.547 1.112 3.247
```

Properties
ΔE_f   -36.1 kJ/mol of atoms

=====

# 7
Below is a relaxed structure of Zn4PdAu5, with properties calculated at the PBE-GGA level.

POSCAR file:
```
Zn4PdAu5
1.0
6.941 -1.468 0.000
6.941 1.468 0.000
-1.337 0.000 8.364
Zn Pd Au
4 1 5
Cartesian
0.034 0.000 2.177
3.749 0.000 4.826
8.796 0.000 3.537
12.511 0.000 6.187
6.273 0.000 4.182
1.299 0.000 5.911
2.435 0.000 0.765
6.941 0.000 0.000
10.110 0.000 7.599
11.246 0.000 2.452
```

Properties
ΔE_f   -12.5 kJ/mol of atoms
Offset from the most stable computed form   69 meV per atom

=====

# 8
Below is a relaxed structure of ZnPdAu2, with properties calculated at the PBE-GGA level.

POSCAR file:
```
ZnPdAu2
1.0
-1.478 4.669 2.387
1.478 -4.669 2.387
1.478 4.669 -2.387
Zn Pd Au
1 1 2
Cartesian
0.000 0.000 0.000
0.000 4.669 0.079
1.478 2.221 0.633
0.000 2.448 3.021
```

Properties
ΔE_f   -19.9 kJ/mol of atoms

=====

- The lowest ΔE_f belongs to which entry?
  Zn2PdAu

=====

- Among the records above, which one has the highest ΔE_f?
  Zn2Pd8Au3